No. 1
The following is a DFT calculation (GGA-PBE) of a relaxed structure of Dy3Er2Hg4.

The space group is Cmce (No. 64) and the conventional cell measures 6.917, 18.142 and 7.916 Å, with angles of 90.00, 90.00 and 90.00 degrees. The asymmetric unit holds Dy at (0.000, 0.000, 0.000), Dy at (0.250, 0.239, 0.250), Er at (0.000, 0.094, 0.587), Hg at (0.000, 0.164, 0.964) and Hg at (0.250, 0.069, 0.250).

The value obtained for the energy is -26.891 eV per formula unit. The formation enthalpy at 0 K comes out at -0.306 eV per atom.

No. 2
The following is a DFT calculation (GGA-PBE) of a relaxed structure of DyEr5Hg3.

The space group is P6_3/mcm (No. 193) and the conventional cell measures 9.0046, 9.0046 and 6.8740 Å, with angles of 90.00, 90.00 and 120.00 degrees. The asymmetric unit holds Dy at (0.0000, 0.0000, 0.0000), Er at (0.0000, 0.3339, 0.2500), Er at (0.3333, 0.6667, 0.0000) and Hg at (0.0000, 0.3334, 0.7500).

The value obtained for the energy is -31.153 eV per formula unit. The formation enthalpy at 0 K comes out at -0.315 eV per atom.

No. 3
The following is a DFT calculation (GGA-PBE) of a relaxed structure of DyEr6Hg2.

The space group is C2/m (No. 12) and the conventional cell measures 12.480, 3.694 and 11.731 Å, with angles of 90.00, 108.90 and 90.00 degrees. The asymmetric unit holds Dy at (0.000, 0.000, 0.000), Er at (0.015, 0.000, 0.338), Er at (0.187, 0.500, 0.584), Er at (0.188, 0.500, 0.876) and Hg at (0.145, 0.500, 0.209).

The value obtained for the energy is -34.423 eV per formula unit. The formation enthalpy at 0 K comes out at -0.204 eV per atom.

No. 4
The following is a DFT calculation (GGA-PBE) of a relaxed structure of DyEr2Hg5.

The space group is I4/mmm (No. 139) and the conventional cell measures 5.179, 5.179 and 14.540 Å, with angles of 90.00, 90.00 and 90.00 degrees. The asymmetric unit holds Dy at (0.000, 0.000, 0.000), Er at (0.000, 0.000, 0.264), Hg at (0.000, 0.000, 0.500) and Hg at (0.000, 0.500, 0.126).

The value obtained for the energy is -18.557 eV per formula unit. The formation enthalpy at 0 K comes out at -0.415 eV per atom.

No. 5
The following is a DFT calculation (GGA-PBE) of a relaxed structure of DyEr5Hg2.

The space group is Immm (No. 71) and the conventional cell measures 3.684, 10.089 and 12.260 Å, with angles of 90.00, 90.00 and 90.00 degrees. The asymmetric unit holds Dy at (0.000, 0.000, 0.000), Er at (0.000, 0.226, 0.364), Er at (0.000, 0.500, 0.000) and Hg at (0.000, 0.500, 0.262).

The value obtained for the energy is -29.293 eV per formula unit. The formation enthalpy at 0 K comes out at -0.159 eV per atom.

No. 6
The following is a DFT calculation (GGA-PBE) of a relaxed structure of Dy3Er3Hg2.

The space group is Cmcm (No. 63) and the conventional cell measures 5.115, 11.612 and 15.743 Å, with angles of 90.00, 90.00 and 90.00 degrees. The asymmetric unit holds Dy at (0.000, 0.041, 0.107), Dy at (0.000, 0.281, 0.250), Er at (0.000, 0.357, 0.033), Er at (0.000, 0.430, 0.750) and Hg at (0.000, 0.228, 0.628).

The value obtained for the energy is -29.424 eV per formula unit. The formation enthalpy at 0 K comes out at -0.166 eV per atom.

No. 7
The following is a DFT calculation (GGA-PBE) of a relaxed structure of DyEr5Hg4.

The space group is P4/mmm (No. 123) and the conventional cell measures 3.644, 3.644 and 19.998 Å, with angles of 90.00, 90.00 and 90.00 degrees. The asymmetric unit holds Dy at (0.000, 0.000, 0.000), Er at (0.500, 0.500, 0.123), Er at (0.500, 0.500, 0.312), Er at (0.500, 0.500, 0.500), Hg at (0.000, 0.000, 0.216) and Hg at (0.000, 0.000, 0.405).

The value obtained for the energy is -32.330 eV per formula unit. The formation enthalpy at 0 K comes out at -0.371 eV per atom.

No. 8
The following is a DFT calculation (GGA-PBE) of a relaxed structure of Dy2ErHg5.

The space group is I4/mmm (No. 139) and the conventional cell measures 5.190, 5.190 and 14.572 Å, with angles of 90.00, 90.00 and 90.00 degrees. The asymmetric unit holds Dy at (0.000, 0.000, 0.236), Er at (0.000, 0.000, 0.500), Hg at (0.000, 0.000, 0.000) and Hg at (0.000, 0.500, 0.124).

The value obtained for the energy is -18.551 eV per formula unit. The formation enthalpy at 0 K comes out at -0.409 eV per atom.

No. 9
The following is a DFT calculation (GGA-PBE) of a relaxed structure of Dy4ErHg5.

The space group is P4/mmm (No. 123) and the conventional cell measures 3.712, 3.712 and 18.618 Å, with angles of 90.00, 90.00 and 90.00 degrees. The asymmetric unit holds Dy at (0.000, 0.000, 0.100), Dy at (0.000, 0.000, 0.301), Er at (0.000, 0.000, 0.500), Hg at (0.500, 0.500, 0.000), Hg at (0.500, 0.500, 0.201) and Hg at (0.500, 0.500, 0.402).

The value obtained for the energy is -29.297 eV per formula unit. The formation enthalpy at 0 K comes out at -0.482 eV per atom.

No. 10
The following is a DFT calculation (GGA-PBE) of a relaxed structure of Dy5ErHg3.

The space group is P6_3/mcm (No. 193) and the conventional cell measures 9.0714, 9.0714 and 6.8954 Å, with angles of 90.00, 90.00 and 120.00 degrees. The asymmetric unit holds Dy at (0.0000, 0.3326, 0.2500), Dy at (0.3333, 0.6667, 0.0000), Er at (0.0000, 0.0000, 0.0000) and Hg at (0.0000, 0.3336, 0.7500).

The value obtained for the energy is -31.302 eV per formula unit. The formation enthalpy at 0 K comes out at -0.314 eV per atom.

No. 11
The following is a DFT calculation (GGA-PBE) of a relaxed structure of Dy3ErHg5.

The space group is P6_3/mcm (No. 193) and the conventional cell measures 9.0870, 9.0870 and 6.4750 Å, with angles of 90.00, 90.00 and 120.00 degrees. The asymmetric unit holds Dy at (0.0000, 0.3696, 0.2500), Er at (0.0000, 0.0000, 0.0000), Hg at (0.0000, 0.2969, 0.7500) and Hg at (0.3333, 0.6667, 0.0000).

The value obtained for the energy is -23.554 eV per formula unit. The formation enthalpy at 0 K comes out at -0.408 eV per atom.

No. 12
The following is a DFT calculation (GGA-PBE) of a relaxed structure of DyEr2Hg.

The space group is Cmcm (No. 63) and the conventional cell measures 4.936, 11.937 and 7.953 Å, with angles of 90.00, 90.00 and 90.00 degrees. The asymmetric unit holds Dy at (0.000, 0.053, 0.250), Er at (0.000, 0.361, 0.039) and Hg at (0.000, 0.210, 0.750).

The value obtained for the energy is -14.667 eV per formula unit. For the energy above the most stable polymorph in this dataset, the calculation gives 70 meV/atom. The formation enthalpy at 0 K comes out at -0.159 eV per atom.